Rb3Ni5F12 after structural relaxation, computed with GGA+U.

Calculated values
- size of the total moment (μB/cell) = 36.000
- E (eV per atom) = -3.948

abc: 11.7693 11.7693 11.7693
angles: 109.47 109.47 109.47
Closest atoms and distances in Å follow each position.
Positions (direct):
Rb1 0.1250 0.2500 0.3750  8 F 2.78-2.85
Rb2 0.1250 0.3750 0.7500  8 F 2.78-2.85
Rb3 0.2500 0.3750 0.1250  8 F 2.78-2.85
Rb4 0.2500 0.8750 0.6250  8 F 2.78-2.85
Rb5 0.3750 0.1250 0.2500  8 F 2.78-2.85
Rb6 0.3750 0.7500 0.1250  8 F 2.78-2.85
Rb7 0.6250 0.2500 0.8750  8 F 2.78-2.85
Rb8 0.6250 0.8750 0.7500  8 F 2.78-2.85
Rb9 0.7500 0.1250 0.3750  8 F 2.78-2.85
Rb10 0.7500 0.6250 0.8750  8 F 2.78-2.85
Rb11 0.8750 0.6250 0.2500  8 F 2.78-2.85
Rb12 0.8750 0.7500 0.6250  8 F 2.78-2.85
Ni1 0.0000 0.0000 0.0000  6 F 2.05
Ni2 0.0000 0.0000 0.5000  6 F 2.05
Ni3 0.0000 0.5000 0.0000  6 F 2.05
Ni4 0.0000 0.5000 0.5000  6 F 2.05
Ni5 0.1250 0.7500 0.8750  4 F 2.00
Ni6 0.1250 0.8750 0.2500  4 F 2.00
Ni7 0.2500 0.1250 0.8750  4 F 2.00
Ni8 0.2500 0.6250 0.3750  4 F 2.00
Ni9 0.3750 0.2500 0.6250  4 F 2.00
Ni10 0.3750 0.6250 0.7500  4 F 2.00
Ni11 0.5000 0.0000 0.0000  6 F 2.05
Ni12 0.5000 0.0000 0.5000  6 F 2.05
Ni13 0.5000 0.5000 0.0000  6 F 2.05
Ni14 0.5000 0.5000 0.5000  6 F 2.05
Ni15 0.6250 0.3750 0.2500  4 F 2.00
Ni16 0.6250 0.7500 0.3750  4 F 2.00
Ni17 0.7500 0.3750 0.6250  4 F 2.00
Ni18 0.7500 0.8750 0.1250  4 F 2.00
Ni19 0.8750 0.1250 0.7500  4 F 2.00
Ni20 0.8750 0.2500 0.1250  4 F 2.00
F1 0.0042 0.1833 0.0982  2 Ni 2.00-2.05
F2 0.0042 0.3210 0.9061  2 Ni 2.00-2.05
F3 0.0851 0.6833 0.6790  2 Ni 2.00-2.05
F4 0.0851 0.9018 0.4061  2 Ni 2.00-2.05
F5 0.0939 0.5982 0.4149  2 Ni 2.00-2.05
F6 0.0939 0.9958 0.6790  2 Ni 2.00-2.05
F7 0.0982 0.0042 0.1833  2 Ni 2.00-2.05
F8 0.0982 0.5939 0.9149  2 Ni 2.00-2.05
F9 0.1790 0.1833 0.5851  2 Ni 2.00-2.05
F10 0.1790 0.4958 0.5939  2 Ni 2.00-2.05
F11 0.1833 0.0982 0.0042  2 Ni 2.00-2.05
F12 0.1833 0.5851 0.1790  2 Ni 2.00-2.05
F13 0.3167 0.3210 0.9149  2 Ni 2.00-2.05
F14 0.3167 0.4958 0.4018  2 Ni 2.00-2.05
F15 0.3210 0.9061 0.0042  2 Ni 2.00-2.05
F16 0.3210 0.9149 0.3167  2 Ni 2.00-2.05
F17 0.4018 0.3167 0.4958  2 Ni 2.00-2.05
F18 0.4018 0.5851 0.9061  2 Ni 2.00-2.05
F19 0.4061 0.0851 0.9018  2 Ni 2.00-2.05
F20 0.4061 0.8210 0.5042  2 Ni 2.00-2.05
F21 0.4149 0.0939 0.5982  2 Ni 2.00-2.05
F22 0.4149 0.8210 0.8167  2 Ni 2.00-2.05
F23 0.4958 0.4018 0.3167  2 Ni 2.00-2.05
F24 0.4958 0.5939 0.1790  2 Ni 2.00-2.05
F25 0.5042 0.4061 0.8210  2 Ni 2.00-2.05
F26 0.5042 0.5982 0.6833  2 Ni 2.00-2.05
F27 0.5851 0.1790 0.1833  2 Ni 2.00-2.05
F28 0.5851 0.9061 0.4018  2 Ni 2.00-2.05
F29 0.5939 0.1790 0.4958  2 Ni 2.00-2.05
F30 0.5939 0.9149 0.0982  2 Ni 2.00-2.05
F31 0.5982 0.4149 0.0939  2 Ni 2.00-2.05
F32 0.5982 0.6833 0.5042  2 Ni 2.00-2.05
F33 0.6790 0.0851 0.6833  2 Ni 2.00-2.05
F34 0.6790 0.0939 0.9958  2 Ni 2.00-2.05
F35 0.6833 0.5042 0.5982  2 Ni 2.00-2.05
F36 0.6833 0.6790 0.0851  2 Ni 2.00-2.05
F37 0.8167 0.4149 0.8210  2 Ni 2.00-2.05
F38 0.8167 0.9018 0.9958  2 Ni 2.00-2.05
F39 0.8210 0.5042 0.4061  2 Ni 2.00-2.05
F40 0.8210 0.8167 0.4149  2 Ni 2.00-2.05
F41 0.9018 0.4061 0.0851  2 Ni 2.00-2.05
F42 0.9018 0.9958 0.8167  2 Ni 2.00-2.05
F43 0.9061 0.0042 0.3210  2 Ni 2.00-2.05
F44 0.9061 0.4018 0.5851  2 Ni 2.00-2.05
F45 0.9149 0.0982 0.5939  2 Ni 2.00-2.05
F46 0.9149 0.3167 0.3210  2 Ni 2.00-2.05
F47 0.9958 0.6790 0.0939  2 Ni 2.00-2.05
F48 0.9958 0.8167 0.9018  2 Ni 2.00-2.05